No. 1
! PBE RbCrCuN2, relaxed; values from VASP
! Symmetry ... P4/mmm
! E_form (uncorrected) ... 274.8 kJ per mole of atoms
! DOS at the Fermi energy ... 0.480 states/eV per atom
! Energy ... -3.420 eV per atom
&SYSTEM
  ibrav = 0, nat = 5, ntyp = 4
/
ATOMIC_SPECIES
Rb 85.47 Rb.upf
Cr 52.00 Cr.upf
Cu 63.55 Cu.upf
N 14.01 N.upf
CELL_PARAMETERS angstrom
4.575 0.000 0.000
0.000 4.575 0.000
0.000 0.000 4.936
ATOMIC_POSITIONS crystal
Rb 0.000 0.000 0.000
Cr 0.500 0.500 0.500
Cu 0.000 0.000 0.500
N 0.000 0.500 0.000
N 0.500 0.000 0.000

No. 2
! PBE CrCuRh2N, relaxed; values from VASP
! Symmetry ... P4/mmm
! E_form (uncorrected) ... 11.1 kJ per mole of atoms
! DOS at the Fermi energy ... 1.305 states/eV per atom
! Energy ... -7.235 eV per atom
&SYSTEM
  ibrav = 0, nat = 5, ntyp = 4
/
ATOMIC_SPECIES
Cr 52.00 Cr.upf
Cu 63.55 Cu.upf
Rh 102.91 Rh.upf
N 14.01 N.upf
CELL_PARAMETERS angstrom
4.050 0.000 0.000
0.000 4.050 0.000
0.000 0.000 3.768
ATOMIC_POSITIONS crystal
Cr 0.000 0.000 0.000
Cu 0.500 0.500 0.000
Rh 0.000 0.500 0.500
Rh 0.500 0.000 0.500
N 0.000 0.000 0.500

No. 3
! PBE CrCuSe2N, relaxed; values from VASP
! Relative energy among the computed polymorphs ... 0.5011 eV per atom
! Symmetry ... P4/mmm
! E_form (uncorrected) ... 80.2 kJ per mole of atoms
! DOS at the Fermi energy ... 0.635 states/eV per atom
! Energy ... -4.972 eV per atom
&SYSTEM
  ibrav = 0, nat = 5, ntyp = 4
/
ATOMIC_SPECIES
Cr 52.00 Cr.upf
Cu 63.55 Cu.upf
Se 78.96 Se.upf
N 14.01 N.upf
CELL_PARAMETERS angstrom
4.956 0.000 0.000
0.000 4.956 0.000
0.000 0.000 3.523
ATOMIC_POSITIONS crystal
Cr 0.000 0.000 0.000
Cu 0.500 0.500 0.500
Se 0.000 0.500 0.500
Se 0.500 0.000 0.500
N 0.500 0.500 0.000

No. 4
! PBE CrCuSe2N, relaxed; values from VASP
! Relative energy among the computed polymorphs ... 0.0000 eV per atom
! Symmetry ... P4/mmm
! E_form (uncorrected) ... 31.8 kJ per mole of atoms
! DOS at the Fermi energy ... 0.675 states/eV per atom
! Energy ... -5.473 eV per atom
&SYSTEM
  ibrav = 0, nat = 5, ntyp = 4
/
ATOMIC_SPECIES
Cr 52.00 Cr.upf
Cu 63.55 Cu.upf
Se 78.96 Se.upf
N 14.01 N.upf
CELL_PARAMETERS angstrom
4.922 0.000 0.000
0.000 4.922 0.000
0.000 0.000 3.493
ATOMIC_POSITIONS crystal
Cr 0.000 0.000 0.000
Cu 0.500 0.500 0.500
Se 0.000 0.500 0.000
Se 0.500 0.000 0.000
N 0.000 0.000 0.500

No. 5
! PBE CrCu2SnN, relaxed; values from VASP
! Symmetry ... P4/mmm
! E_form (uncorrected) ... 176.0 kJ per mole of atoms
! DOS at the Fermi energy ... 0.492 states/eV per atom
! Energy ... -4.205 eV per atom
&SYSTEM
  ibrav = 0, nat = 5, ntyp = 4
/
ATOMIC_SPECIES
Cr 52.00 Cr.upf
Cu 63.55 Cu.upf
Sn 118.71 Sn.upf
N 14.01 N.upf
CELL_PARAMETERS angstrom
4.824 0.000 0.000
0.000 4.824 0.000
0.000 0.000 5.290
ATOMIC_POSITIONS crystal
Cr 0.000 0.000 0.000
Cu 0.000 0.500 0.500
Cu 0.500 0.000 0.500
Sn 0.000 0.000 0.500
N 0.500 0.500 0.000

No. 6
! PBE Sr2CrCuN, relaxed; values from VASP
! Symmetry ... P4/mmm
! E_form (uncorrected) ... -21.0 kJ per mole of atoms
! DOS at the Fermi energy ... 0.681 states/eV per atom
! Energy ... -5.299 eV per atom
&SYSTEM
  ibrav = 0, nat = 5, ntyp = 4
/
ATOMIC_SPECIES
Sr 87.62 Sr.upf
Cr 52.00 Cr.upf
Cu 63.55 Cu.upf
N 14.01 N.upf
CELL_PARAMETERS angstrom
5.443 0.000 0.000
0.000 5.443 0.000
0.000 0.000 3.783
ATOMIC_POSITIONS crystal
Sr 0.000 0.500 0.000
Sr 0.500 0.000 0.000
Cr 0.000 0.000 0.500
Cu 0.500 0.500 0.500
N 0.000 0.000 0.000

No. 7
! PBE CrCuTeN2, relaxed; values from VASP
! Relative energy among the computed polymorphs ... 1.0063 eV per atom
! Symmetry ... P4/mmm
! E_form (uncorrected) ... 148.1 kJ per mole of atoms
! DOS at the Fermi energy ... 0.764 states/eV per atom
! Energy ... -5.167 eV per atom
&SYSTEM
  ibrav = 0, nat = 5, ntyp = 4
/
ATOMIC_SPECIES
Cr 52.00 Cr.upf
Cu 63.55 Cu.upf
Te 127.60 Te.upf
N 14.01 N.upf
CELL_PARAMETERS angstrom
3.823 0.000 0.000
0.000 3.823 0.000
0.000 0.000 6.309
ATOMIC_POSITIONS crystal
Cr 0.000 0.000 0.000
Cu 0.500 0.500 0.500
Te 0.500 0.500 0.000
N 0.000 0.500 0.500
N 0.500 0.000 0.500

No. 8
! PBE CrCuTeN2, relaxed; values from VASP
! Relative energy among the computed polymorphs ... 0.0000 eV per atom
! Symmetry ... P4/mmm
! E_form (uncorrected) ... 51.0 kJ per mole of atoms
! DOS at the Fermi energy ... 0.561 states/eV per atom
! Energy ... -6.174 eV per atom
&SYSTEM
  ibrav = 0, nat = 5, ntyp = 4
/
ATOMIC_SPECIES
Cr 52.00 Cr.upf
Cu 63.55 Cu.upf
Te 127.60 Te.upf
N 14.01 N.upf
CELL_PARAMETERS angstrom
3.669 0.000 0.000
0.000 3.669 0.000
0.000 0.000 5.577
ATOMIC_POSITIONS crystal
Cr 0.000 0.000 0.000
Cu 0.500 0.500 0.500
Te 0.000 0.000 0.500
N 0.000 0.500 0.000
N 0.500 0.000 0.000

No. 9
! PBE Y2CrCuN, relaxed; values from VASP
! Symmetry ... P4/mmm
! E_form (uncorrected) ... -56.3 kJ per mole of atoms
! DOS at the Fermi energy ... 0.687 states/eV per atom
! Energy ... -7.578 eV per atom
&SYSTEM
  ibrav = 0, nat = 5, ntyp = 4
/
ATOMIC_SPECIES
Y 88.91 Y.upf
Cr 52.00 Cr.upf
Cu 63.55 Cu.upf
N 14.01 N.upf
CELL_PARAMETERS angstrom
4.878 0.000 0.000
0.000 4.878 0.000
0.000 0.000 3.753
ATOMIC_POSITIONS crystal
Y 0.000 0.500 0.000
Y 0.500 0.000 0.000
Cr 0.000 0.000 0.500
Cu 0.500 0.500 0.500
N 0.000 0.000 0.000

No. 10
! PBE NaCr2Cu, relaxed; values from VASP
! Relative energy among the computed polymorphs ... 0.0000 eV per atom
! Symmetry ... I-42d
! ΔE_f ... 1109 meV/atom
! DOS at the Fermi energy ... 0.736 states/eV per atom
! Energy ... -5.057 eV per atom
&SYSTEM
  ibrav = 0, nat = 8, ntyp = 3
/
ATOMIC_SPECIES
Na 22.99 Na.upf
Cr 52.00 Cr.upf
Cu 63.55 Cu.upf
CELL_PARAMETERS angstrom
-1.737 1.737 9.862
1.737 -1.737 9.862
1.737 1.737 -9.862
ATOMIC_POSITIONS crystal
Na 0.000 0.000 0.000
Na 0.750 0.250 0.500
Cr 0.180 0.125 0.555
Cr 0.375 0.820 0.945
Cr 0.570 0.625 0.445
Cr 0.875 0.430 0.055
Cu 0.250 0.750 0.500
Cu 0.500 0.500 0.000

No. 11
! PBE Na2CrCu4, relaxed; values from VASP
! Symmetry ... I4/mmm
! ΔE_f ... 803 meV/atom
! DOS at the Fermi energy ... 0.412 states/eV per atom
! Energy ... -3.289 eV per atom
&SYSTEM
  ibrav = 0, nat = 7, ntyp = 3
/
ATOMIC_SPECIES
Na 22.99 Na.upf
Cr 52.00 Cr.upf
Cu 63.55 Cu.upf
CELL_PARAMETERS angstrom
-2.362 2.362 7.230
2.362 -2.362 7.230
2.362 2.362 -7.230
ATOMIC_POSITIONS crystal
Na 0.130 0.130 0.000
Na 0.870 0.870 0.000
Cr 0.500 0.500 0.000
Cu 0.000 0.500 0.500
Cu 0.336 0.336 0.000
Cu 0.500 0.000 0.500
Cu 0.664 0.664 0.000

No. 12
! PBE NaCrCu2, relaxed; values from VASP
! Symmetry ... I-42d
! ΔE_f ... 730 meV/atom
! DOS at the Fermi energy ... 0.450 states/eV per atom
! Energy ... -4.053 eV per atom
&SYSTEM
  ibrav = 0, nat = 8, ntyp = 3
/
ATOMIC_SPECIES
Na 22.99 Na.upf
Cr 52.00 Cr.upf
Cu 63.55 Cu.upf
CELL_PARAMETERS angstrom
-3.582 3.582 2.687
3.582 -3.582 2.687
3.582 3.582 -2.687
ATOMIC_POSITIONS crystal
Na 0.000 0.000 0.000
Na 0.750 0.250 0.500
Cr 0.250 0.750 0.500
Cr 0.500 0.500 0.000
Cu 0.145 0.625 0.020
Cu 0.375 0.395 0.520
Cu 0.605 0.125 0.980
Cu 0.875 0.855 0.480

No. 13
! PBE Na2CrCu, relaxed; values from VASP
! Relative energy among the computed polymorphs ... 0.0199 eV per atom
! Symmetry ... I-42d
! ΔE_f ... 759 meV/atom
! DOS at the Fermi energy ... 0.405 states/eV per atom
! Energy ... -3.330 eV per atom
&SYSTEM
  ibrav = 0, nat = 8, ntyp = 3
/
ATOMIC_SPECIES
Na 22.99 Na.upf
Cr 52.00 Cr.upf
Cu 63.55 Cu.upf
CELL_PARAMETERS angstrom
-4.136 4.136 2.727
4.136 -4.136 2.727
4.136 4.136 -2.727
ATOMIC_POSITIONS crystal
Na 0.084 0.625 0.959
Na 0.375 0.334 0.459
Na 0.666 0.125 0.041
Na 0.875 0.916 0.541
Cr 0.250 0.750 0.500
Cr 0.500 0.500 0.000
Cu 0.000 0.000 0.000
Cu 0.750 0.250 0.500

No. 14
! PBE Na2CrCu, relaxed; values from VASP
! Relative energy among the computed polymorphs ... 0.0000 eV per atom
! Symmetry ... Fm-3m
! ΔE_f ... 739 meV/atom
! DOS at the Fermi energy ... 0.372 states/eV per atom
! Energy ... -3.350 eV per atom
&SYSTEM
  ibrav = 0, nat = 4, ntyp = 3
/
ATOMIC_SPECIES
Na 22.99 Na.upf
Cr 52.00 Cr.upf
Cu 63.55 Cu.upf
CELL_PARAMETERS angstrom
0.000 3.521 3.521
3.521 0.000 3.521
3.521 3.521 0.000
ATOMIC_POSITIONS crystal
Na 0.250 0.250 0.250
Na 0.750 0.750 0.750
Cr 0.000 0.000 0.000
Cu 0.500 0.500 0.500

No. 15
! PBE NaCr2Cu, relaxed; values from VASP
! Relative energy among the computed polymorphs ... 0.2520 eV per atom
! Symmetry ... Fm-3m
! ΔE_f ... 1361 meV/atom
! DOS at the Fermi energy ... 1.413 states/eV per atom
! Energy ... -4.805 eV per atom
&SYSTEM
  ibrav = 0, nat = 4, ntyp = 3
/
ATOMIC_SPECIES
Na 22.99 Na.upf
Cr 52.00 Cr.upf
Cu 63.55 Cu.upf
CELL_PARAMETERS angstrom
0.000 3.012 3.012
3.012 0.000 3.012
3.012 3.012 0.000
ATOMIC_POSITIONS crystal
Na 0.000 0.000 0.000
Cr 0.250 0.250 0.250
Cr 0.750 0.750 0.750
Cu 0.500 0.500 0.500